Run 1
Y2TlBr2, optimized geometry, DFT PBE; SG = P4/mbm (127); total magnetization = 0.0000 μB per atom; crystal system = tetragonal
1.0
8.9273 0.0000 0.0000
0.0000 8.9273 0.0000
0.0000 0.0000 3.3451
Y Tl Br
4 2 4
direct
0.1787 0.6787 0.5000
0.6787 0.8213 0.5000
0.8213 0.3213 0.5000
0.3213 0.1787 0.5000
0.0000 0.0000 0.0000
0.5000 0.5000 0.0000
0.3775 0.8775 0.0000
0.8775 0.6225 0.0000
0.6225 0.1225 0.0000
0.1225 0.3775 0.0000

Run 2
Y2TlBr2, optimized geometry, DFT PBE; SG = I4/mmm (139); total magnetization = 0.0000 μB per atom; crystal system = tetragonal
1.0
5.5041 0.0000 0.0000
0.0000 5.5041 0.0000
2.7521 2.7521 4.7254
Y Tl Br
2 1 2
direct
0.7500 0.2500 0.5000
0.2500 0.7500 0.5000
0.0000 0.0000 0.0000
0.3352 0.3352 0.3295
0.6648 0.6648 0.6705

Tell me which of them is the most stable. Sure, it is run 2.